A plane-wave DFT calculation with PBE-GGA was carried out for a geometry-optimized Y3In3PdPt2 structure.

Output
- Magnetization: 0.0 μB/cell
- Energy: -5.9493 eV per atom

a = 7.733 Å, b = 7.733 Å, c = 3.830 Å
α = 90.00°, β = 90.00°, γ = 120.00°
Element x y z (fractional)
1 In 0.740 0.000 0.500
2 In 0.260 0.260 0.500
3 In 0.000 0.740 0.500
4 Pd 0.000 0.000 0.000
5 Pt 0.667 0.333 0.500
6 Pt 0.333 0.667 0.500
7 Y 0.409 0.000 0.000
8 Y 0.000 0.409 0.000
9 Y 0.591 0.591 0.000